1.
VASP calculation (GGA-PBE) on Hf2MgPa after structural relaxation.

Values from the calculation:
DOS(E_F)	5.03	states/eV per cell
E_tot	-7.643	eV per atom
total magnetization	0.000	μB/f.u.
energy of formation	106.3	meV/atom
energy relative to the lowest polymorph listed for this composition	0.051	eV per atom

a b c (Å): 3.070 3.070 9.761
angles (deg): 90.00 90.00 90.00
Space group P4/mmm (No. 123)
One atom of each set of equivalent atoms:
Hf 0.000 0.000 0.248 (multiplicity 2)
Mg 0.500 0.500 0.000 (multiplicity 1)
Pa 0.500 0.500 0.500 (multiplicity 1)

=====

2.
VASP calculation (GGA-PBE) on Er5PbS4 after structural relaxation.

Values from the calculation:
DOS(E_F)	7.24	states/eV per cell
E_tot	-5.909	eV per atom
formation energy from raw total energies	-1606	meV per atom
total magnetization	0.000	μB/f.u.

a b c (Å): 13.234 3.889 10.000
angles (deg): 90.00 119.63 90.00
Space group C2/m (No. 12)
One atom of each set of equivalent atoms:
Er 0.000 0.000 0.000 (multiplicity 2)
Er 0.108 0.500 0.376 (multiplicity 4)
Er 0.206 0.000 0.820 (multiplicity 4)
Pb 0.000 0.000 0.500 (multiplicity 2)
S 0.095 0.500 0.901 (multiplicity 4)
S 0.204 0.000 0.287 (multiplicity 4)

=====

3.
VASP calculation (GGA-PBE) on PmNpHg after structural relaxation.

Values from the calculation:
DOS(E_F)	8.38	states/eV per cell
E_tot	-6.012	eV per atom
total magnetization	0.000	μB/f.u.
energy of formation	-14.6	meV/atom

a b c (Å): 3.443 5.517 8.587
angles (deg): 73.21 80.44 87.80
Space group P-1 (No. 2)
One atom of each set of equivalent atoms:
Pm 0.015 0.311 0.355 (multiplicity 2)
Np 0.235 0.635 0.020 (multiplicity 2)
Hg 0.422 0.143 0.719 (multiplicity 2)

=====

4.
VASP calculation (GGA-PBE) on Li4Pu3ZrSe8 after structural relaxation.

Values from the calculation:
DOS(E_F)	89.27	states/eV per cell
E_tot	-6.829	eV per atom
formation energy from raw total energies	-1387	meV per atom
total magnetization	16.002	μB/f.u.

a b c (Å): 8.1027 8.1027 19.3790
angles (deg): 90.00 90.00 120.00
Space group R-3m (No. 166, hexagonal axes)
One atom of each set of equivalent atoms:
Li 0.0000 0.0000 0.0000 (multiplicity 3)
Li 0.0000 0.5000 0.0000 (multiplicity 9)
Pu 0.0000 0.5000 0.5000 (multiplicity 9)
Zr 0.0000 0.0000 0.5000 (multiplicity 3)
Se 0.0000 0.0000 0.2527 (multiplicity 6)
Se 0.0146 0.5073 0.2509 (multiplicity 18)

=====

5.
VASP calculation (GGA-PBE) on Er4InSi after structural relaxation.

Values from the calculation:
DOS(E_F)	28.34	states/eV per cell
E_tot	-4.649	eV per atom
formation energy from raw total energies	-246	meV per atom
total magnetization	0.160	μB/f.u.

a b c (Å): 16.334 6.166 6.866
angles (deg): 90.00 104.53 90.00
Space group C2/c (No. 15)
One atom of each set of equivalent atoms:
Er 0.084 0.119 0.460 (multiplicity 8)
Er 0.171 0.385 0.113 (multiplicity 8)
In 0.000 0.406 0.750 (multiplicity 4)
Si 0.250 0.250 0.500 (multiplicity 4)

=====

- DOS(E_F) of number 5 (Er4InSi)?
  28.34 states/eV per cell